Record 1
Computed, not measured: a relaxed structure of Cu4Ag at the GGA-PBE level of DFT.

Unit cell a=2.6834 b=2.6834 c=18.0311 alpha=90.00 beta=90.00 gamma=90.00
Atoms (fractional coordinates):
Cu  0.2500  0.2500  0.0462
Cu  0.2500  0.2500  0.2311
Cu  0.2500  0.2500  0.4537
Cu  0.2500  0.2500  0.8614
Cu  0.7500  0.7500  0.1386
Cu  0.7500  0.7500  0.5463
Cu  0.7500  0.7500  0.7689
Cu  0.7500  0.7500  0.9538
Ag  0.2500  0.2500  0.6576
Ag  0.7500  0.7500  0.3424

Raw total energy   -17.39 eV/f.u.
Excess energy over the best structure of this formula in the dataset   0.016 eV/atom
Theoretical density   9.26 g/cm3
ΔH_f (0 K)   0.060 eV per atom

***

Record 2
Computed, not measured: a relaxed structure of SrPuS2F at the GGA-PBE level of DFT.

Unit cell a=3.9664 b=3.9664 c=13.7235 alpha=90.00 beta=90.00 gamma=90.00
Atoms (fractional coordinates):
Sr  0.2500  0.2500  0.1073
Sr  0.7500  0.7500  0.8927
Pu  0.2500  0.2500  0.6118
Pu  0.7500  0.7500  0.3882
S  0.2500  0.2500  0.4072
S  0.2500  0.2500  0.7965
S  0.7500  0.7500  0.2035
S  0.7500  0.7500  0.5928
F  0.2500  0.7500  0.0000
F  0.7500  0.2500  0.0000

Raw total energy   -38.14 eV/f.u.
Theoretical density   6.38 g/cm3

***

Record 3
Computed, not measured: a relaxed structure of YGa3Ni2 at the GGA-PBE level of DFT.

Unit cell a=9.0191 b=9.0191 c=4.0679 alpha=90.00 beta=90.00 gamma=120.00
Atoms (fractional coordinates):
Y  0.0000  0.0000  0.0000
Y  0.3333  0.6667  0.5000
Y  0.6667  0.3333  0.5000
Ga  0.0000  0.2936  0.5000
Ga  0.0000  0.5000  0.0000
Ga  0.0000  0.7064  0.5000
Ga  0.2936  0.0000  0.5000
Ga  0.2936  0.2936  0.5000
Ga  0.5000  0.0000  0.0000
Ga  0.5000  0.5000  0.0000
Ga  0.7064  0.0000  0.5000
Ga  0.7064  0.7064  0.5000
Ni  0.1831  0.3662  0.0000
Ni  0.1831  0.8169  0.0000
Ni  0.3662  0.1831  0.0000
Ni  0.6338  0.8169  0.0000
Ni  0.8169  0.1831  0.0000
Ni  0.8169  0.6338  0.0000

Raw total energy   -30.15 eV/f.u.
Theoretical density   7.22 g/cm3

***

Record 4
Computed, not measured: a relaxed structure of AlGaAu2Se4 at the GGA-PBE level of DFT.

Unit cell a=7.0896 b=7.0896 c=7.0896 alpha=130.39 beta=130.39 gamma=72.79
Atoms (fractional coordinates):
Al  0.0000  0.0000  0.0000
Ga  0.2500  0.7500  0.5000
Au  0.5000  0.5000  0.0000
Au  0.7500  0.2500  0.5000
Se  0.1238  0.1008  0.4727
Se  0.3489  0.8762  0.9770
Se  0.6282  0.6511  0.5273
Se  0.8992  0.3718  0.0230

Raw total energy   -30.52 eV/f.u.
Theoretical density   6.63 g/cm3

***

Record 5
Computed, not measured: a relaxed structure of HfPt2O4 at the GGA-PBE level of DFT.

Unit cell a=6.4423 b=6.4423 c=6.4423 alpha=60.00 beta=60.00 gamma=60.00
Atoms (fractional coordinates):
Hf  0.1250  0.1250  0.1250
Hf  0.8750  0.8750  0.8750
Pt  0.0000  0.5000  0.5000
Pt  0.5000  0.0000  0.5000
Pt  0.5000  0.5000  0.0000
Pt  0.5000  0.5000  0.5000
O  0.2499  0.2499  0.2499
O  0.2499  0.2499  0.7503
O  0.2499  0.7503  0.2499
O  0.2497  0.7501  0.7501
O  0.7503  0.2499  0.2499
O  0.7501  0.2497  0.7501
O  0.7501  0.7501  0.2497
O  0.7501  0.7501  0.7501

Raw total energy   -48.13 eV/f.u.
Theoretical density   11.11 g/cm3

***

Record 6
Computed, not measured: a relaxed structure of Pr4Te3Au at the GGA-PBE level of DFT.

Unit cell a=7.8422 b=7.8422 c=4.3964 alpha=90.00 beta=90.00 gamma=108.60
Atoms (fractional coordinates):
Pr  0.2344  0.2344  0.5000
Pr  0.2458  0.7542  0.0000
Pr  0.7542  0.2458  0.0000
Pr  0.7656  0.7656  0.5000
Te  0.0000  0.5000  0.5000
Te  0.5000  0.0000  0.5000
Te  0.5000  0.5000  0.0000
Au  0.0000  0.0000  0.0000

Raw total energy   -42.05 eV/f.u.
Theoretical density   7.41 g/cm3

***

Record 7
Computed, not measured: a relaxed structure of KLaTaS4 at the GGA-PBE level of DFT.

Unit cell a=6.8692 b=6.7890 c=8.8239 alpha=90.00 beta=107.79 gamma=90.00
Atoms (fractional coordinates):
K  0.2267  0.0000  0.4359
K  0.7733  0.5000  0.5641
La  0.2642  0.9687  0.9454
La  0.7358  0.4687  0.0546
Ta  0.2665  0.5008  0.1786
Ta  0.7335  0.0008  0.8214
S  0.0620  0.5813  0.9211
S  0.0809  0.5216  0.3550
S  0.4848  0.2330  0.2102
S  0.4869  0.2452  0.7733
S  0.5131  0.7452  0.2267
S  0.5152  0.7330  0.7898
S  0.9191  0.0216  0.6450
S  0.9380  0.0813  0.0789

Raw total energy   -44.33 eV/f.u.
Theoretical density   4.13 g/cm3

***

Record 8
Computed, not measured: a relaxed structure of Sm4I5N at the GGA-PBE level of DFT.

Unit cell a=9.8150 b=9.8150 c=8.7202 alpha=102.29 beta=102.29 gamma=23.44
Atoms (fractional coordinates):
Sm  0.0010  0.0010  0.3088
Sm  0.3722  0.3722  0.4376
Sm  0.6278  0.6278  0.5624
Sm  0.9990  0.9990  0.6912
I  0.1629  0.1629  0.8414
I  0.1676  0.1676  0.3183
I  0.5000  0.5000  0.0000
I  0.8324  0.8324  0.6817
I  0.8371  0.8371  0.1586
N  0.5000  0.5000  0.5000

Raw total energy   -47.94 eV/f.u.
Theoretical density   6.36 g/cm3

***

Record 9
Computed, not measured: a relaxed structure of LiHfAuSe3 at the GGA-PBE level of DFT.

Unit cell a=6.8872 b=6.8872 c=10.3688 alpha=90.00 beta=90.00 gamma=147.97
Atoms (fractional coordinates):
Li  0.2153  0.7847  0.7500
Li  0.7847  0.2153  0.2500
Hf  0.0000  0.0000  0.0000
Hf  0.0000  0.0000  0.5000
Au  0.4545  0.5455  0.2500
Au  0.5455  0.4545  0.7500
Se  0.0963  0.9037  0.2500
Se  0.3576  0.6424  0.0388
Se  0.3576  0.6424  0.4612
Se  0.6424  0.3576  0.5388
Se  0.6424  0.3576  0.9612
Se  0.9037  0.0963  0.7500

Raw total energy   -30.81 eV/f.u.
Excess energy over the best structure of this formula in the dataset   0.063 eV/atom
Theoretical density   7.89 g/cm3

***

Record 10
Computed, not measured: a relaxed structure of NaAgPbS3 at the GGA-PBE level of DFT.

Unit cell a=6.3416 b=6.3416 c=10.9928 alpha=90.00 beta=90.00 gamma=142.29
Atoms (fractional coordinates):
Na  0.2047  0.7953  0.7500
Na  0.7953  0.2047  0.2500
Ag  0.0949  0.9051  0.2500
Ag  0.9051  0.0949  0.7500
Pb  0.5000  0.5000  0.0000
Pb  0.5000  0.5000  0.5000
S  0.1575  0.8425  0.0351
S  0.1575  0.8425  0.4649
S  0.4571  0.5429  0.2500
S  0.5429  0.4571  0.7500
S  0.8425  0.1575  0.5351
S  0.8425  0.1575  0.9649

Raw total energy   -22.01 eV/f.u.
Theoretical density   5.33 g/cm3

***

Record 11
Computed, not measured: a relaxed structure of HfRe5 at the GGA-PBE level of DFT.

Unit cell a=5.1093 b=5.1093 c=4.5377 alpha=90.00 beta=90.00 gamma=120.00
Atoms (fractional coordinates):
Hf  0.0000  0.0000  0.0000
Re  0.0000  0.5000  0.5000
Re  0.3333  0.6667  0.0000
Re  0.5000  0.0000  0.5000
Re  0.5000  0.5000  0.5000
Re  0.6667  0.3333  0.0000

Raw total energy   -71.11 eV/f.u.
Excess energy over the best structure of this formula in the dataset   0.117 eV/atom
Theoretical density   17.96 g/cm3
ΔH_f (0 K)   0.159 eV per atom

***

Record 12
Computed, not measured: a relaxed structure of ZrZnFeGe at the GGA-PBE level of DFT.

Unit cell a=4.3978 b=4.3978 c=4.3978 alpha=60.00 beta=60.00 gamma=60.00
Atoms (fractional coordinates):
Zr  0.0000  0.0000  0.0000
Zn  0.2500  0.2500  0.2500
Fe  0.7500  0.7500  0.7500
Ge  0.5000  0.5000  0.5000

Raw total energy   -23.11 eV/f.u.
Excess energy over the best structure of this formula in the dataset   0.000 eV/atom
Theoretical density   7.87 g/cm3

***

Record 13
Computed, not measured: a relaxed structure of NaPrCdS3 at the GGA-PBE level of DFT.

Unit cell a=12.0971 b=4.1549 c=11.8168 alpha=90.00 beta=90.00 gamma=90.00
Atoms (fractional coordinates):
Na  0.1282  0.2500  0.0111
Na  0.3718  0.7500  0.5111
Na  0.6282  0.2500  0.4889
Na  0.8718  0.7500  0.9889
Pr  0.0394  0.2500  0.6715
Pr  0.4606  0.7500  0.1715
Pr  0.5394  0.2500  0.8285
Pr  0.9606  0.7500  0.3285
Cd  0.2373  0.2500  0.2872
Cd  0.2627  0.7500  0.7872
Cd  0.7373  0.2500  0.2128
Cd  0.7627  0.7500  0.7128
S  0.0607  0.7500  0.8457
S  0.0867  0.2500  0.4292
S  0.2221  0.7500  0.1596
S  0.2779  0.2500  0.6596
S  0.4133  0.7500  0.9292
S  0.4393  0.2500  0.3457
S  0.5607  0.7500  0.6543
S  0.5867  0.2500  0.0708
S  0.7221  0.7500  0.3404
S  0.7779  0.2500  0.8404
S  0.9133  0.7500  0.5708
S  0.9393  0.2500  0.1543

Raw total energy   -27.32 eV/f.u.
Excess energy over the best structure of this formula in the dataset   0.000 eV/atom
Theoretical density   4.17 g/cm3

***

Record 14
Computed, not measured: a relaxed structure of LaDy2Tm3Te2Os at the GGA-PBE level of DFT.

Unit cell a=4.1027 b=8.2816 c=8.2816 alpha=119.53 beta=90.00 gamma=90.00
Atoms (fractional coordinates):
La  0.0000  0.0000  0.0000
Dy  0.0000  0.4047  0.7912
Dy  0.0000  0.7912  0.4047
Tm  0.5000  0.1748  0.4029
Tm  0.5000  0.4029  0.1748
Tm  0.5000  0.6469  0.6469
Te  0.5000  0.0744  0.7295
Te  0.5000  0.7295  0.0744
Os  0.0000  0.4272  0.4272

Raw total energy   -51.88 eV/f.u.
Theoretical density   9.61 g/cm3

***

Record 15
Computed, not measured: a relaxed structure of CoSiAgMo at the GGA-PBE level of DFT.

Unit cell a=4.3048 b=4.3048 c=4.3048 alpha=60.00 beta=60.00 gamma=60.00
Atoms (fractional coordinates):
Co  0.0000  0.0000  0.0000
Si  0.7500  0.7500  0.7500
Ag  0.2500  0.2500  0.2500
Mo  0.5000  0.5000  0.5000

Raw total energy   -25.00 eV/f.u.
Excess energy over the best structure of this formula in the dataset   0.000 eV/atom
Theoretical density   8.56 g/cm3

***

Record 16
Computed, not measured: a relaxed structure of PuPaCuPd at the GGA-PBE level of DFT.

Unit cell a=4.7389 b=4.7389 c=4.7389 alpha=60.00 beta=60.00 gamma=60.00
Atoms (fractional coordinates):
Pu  0.0000  0.0000  0.0000
Pa  0.2500  0.2500  0.2500
Cu  0.7500  0.7500  0.7500
Pd  0.5000  0.5000  0.5000

Raw total energy   -34.02 eV/f.u.
Theoretical density   14.23 g/cm3
ΔH_f (0 K)   -0.375 eV per atom

***

Record 17
Computed, not measured: a relaxed structure of Mg2Sc2ZnHgAu2 at the GGA-PBE level of DFT.

Unit cell a=4.7651 b=4.7651 c=6.7327 alpha=90.00 beta=90.00 gamma=90.00
Atoms (fractional coordinates):
Mg  0.0000  0.5000  0.2440
Mg  0.5000  0.0000  0.7560
Sc  0.0000  0.5000  0.7593
Sc  0.5000  0.0000  0.2407
Zn  0.5000  0.5000  0.0000
Hg  0.0000  0.0000  0.5000
Au  0.0000  0.0000  0.0000
Au  0.5000  0.5000  0.5000

Raw total energy   -28.30 eV/f.u.
Theoretical density   8.67 g/cm3

***

Record 18
Computed, not measured: a relaxed structure of LaNd2CoSn3Ir2 at the GGA-PBE level of DFT.

Unit cell a=4.1303 b=7.4739 c=7.4739 alpha=119.53 beta=90.00 gamma=90.00
Atoms (fractional coordinates):
La  0.0000  0.0000  0.0000
Nd  0.0000  0.4142  0.8243
Nd  0.0000  0.8243  0.4142
Co  0.0000  0.4152  0.4152
Sn  0.5000  0.1715  0.4171
Sn  0.5000  0.4171  0.1715
Sn  0.5000  0.6541  0.6541
Ir  0.5000  0.0808  0.7507
Ir  0.5000  0.7507  0.0808

Raw total energy   -57.48 eV/f.u.
Theoretical density   10.15 g/cm3

***

Record 19
Computed, not measured: a relaxed structure of PrZnTe at the GGA-PBE level of DFT.

Unit cell a=5.1773 b=5.1773 c=5.1773 alpha=60.00 beta=60.00 gamma=60.00
Atoms (fractional coordinates):
Pr  0.0000  0.0000  0.0000
Zn  0.2500  0.2500  0.2500
Te  0.7500  0.7500  0.7500

Raw total energy   -10.63 eV/f.u.
Excess energy over the best structure of this formula in the dataset   0.000 eV/atom
Theoretical density   5.65 g/cm3

***

Record 20
Computed, not measured: a relaxed structure of NaNb4HO5 at the GGA-PBE level of DFT.

Unit cell a=4.1934 b=4.1934 c=7.7438 alpha=90.00 beta=90.00 gamma=90.00
Atoms (fractional coordinates):
Na  0.0000  0.0000  0.0000
Nb  0.0000  0.5000  0.5000
Nb  0.5000  0.0000  0.5000
Nb  0.5000  0.5000  0.2405
Nb  0.5000  0.5000  0.7595
H  0.5000  0.5000  0.0000
O  0.0000  0.0000  0.5000
O  0.0000  0.5000  0.2253
O  0.0000  0.5000  0.7747
O  0.5000  0.0000  0.2253
O  0.5000  0.0000  0.7747

Raw total energy   -90.22 eV/f.u.
Theoretical density   5.80 g/cm3

***

Record 21
Computed, not measured: a relaxed structure of FeAsOsW at the GGA-PBE level of DFT.

Unit cell a=4.3466 b=4.3466 c=4.3466 alpha=60.00 beta=60.00 gamma=60.00
Atoms (fractional coordinates):
Fe  0.0000  0.0000  0.0000
As  0.7500  0.7500  0.7500
Os  0.5000  0.5000  0.5000
W  0.2500  0.2500  0.2500

Raw total energy   -35.45 eV/f.u.
Excess energy over the best structure of this formula in the dataset   0.000 eV/atom
Theoretical density   14.44 g/cm3

***

Record 22
Computed, not measured: a relaxed structure of La2DySn3PdPt2 at the GGA-PBE level of DFT.

Unit cell a=4.1398 b=7.6724 c=7.6724 alpha=119.90 beta=90.00 gamma=90.00
Atoms (fractional coordinates):
La  0.0000  0.2070  0.7930
La  0.0000  0.7930  0.2070
Dy  0.0000  0.6171  0.6171
Sn  0.5000  0.2138  0.4605
Sn  0.5000  0.4605  0.2138
Sn  0.5000  0.9530  0.9530
Pd  0.0000  0.2146  0.2146
Pt  0.5000  0.5439  0.8672
Pt  0.5000  0.8672  0.5439

Raw total energy   -53.13 eV/f.u.
Theoretical density   10.16 g/cm3

***

Record 23
Computed, not measured: a relaxed structure of LiSmNi at the GGA-PBE level of DFT.

Unit cell a=4.5611 b=4.5611 c=4.5611 alpha=60.00 beta=60.00 gamma=60.00
Atoms (fractional coordinates):
Li  0.0000  0.0000  0.0000
Sm  0.2500  0.2500  0.2500
Ni  0.5000  0.5000  0.5000

Raw total energy   -10.90 eV/f.u.
Excess energy over the best structure of this formula in the dataset   0.420 eV/atom
Theoretical density   5.35 g/cm3